Record 1
KAl2Ru (PBE, optimized geometry); formation enthalpy at 0 K = 0.531 eV per atom; polymorph energy (0 for the lowest one) = 636 meV/atom
1.0
-2.224 2.224 3.690
2.224 -2.224 3.690
2.224 2.224 -3.690
K Al Ru
1 2 1
Direct
0.000 0.000 0.000
0.250 0.750 0.500
0.750 0.250 0.500
0.500 0.500 0.000

Record 2
K2AlRu (PBE, optimized geometry); formation enthalpy at 0 K = 1.007 eV per atom
1.0
1.524 0.880 11.762
-1.524 0.880 11.762
0.000 -1.759 11.762
K Al Ru
2 1 1
Direct
0.245 0.245 0.245
0.755 0.755 0.755
0.000 0.000 0.000
0.500 0.500 0.500

Record 3
KAl2Ru (PBE, optimized geometry); formation enthalpy at 0 K = -0.104 eV per atom; polymorph energy (0 for the lowest one) = 0 meV/atom
1.0
3.097 0.000 0.000
0.000 3.102 0.000
-0.012 0.000 8.540
K Al Ru
1 2 1
Direct
0.000 0.000 0.000
0.500 0.500 0.339
0.500 0.500 0.661
0.000 0.000 0.500

Record 4
K2AlRu (PBE, optimized geometry); formation enthalpy at 0 K = 0.361 eV per atom
1.0
3.685 -2.125 0.000
3.685 2.125 0.000
-2.114 0.000 9.150
K Al Ru
2 1 1
Direct
0.000 0.000 0.000
0.152 0.152 0.532
0.743 0.743 0.266
0.410 0.410 0.266

Record 5
KAl2Ru2 (PBE, optimized geometry); formation enthalpy at 0 K = 0.233 eV per atom; polymorph energy (0 for the lowest one) = 183 meV/atom
1.0
-2.049 2.049 5.932
2.049 -2.049 5.932
2.049 2.049 -5.932
K Al Ru
1 2 2
Direct
0.000 0.000 0.000
0.373 0.373 0.000
0.627 0.627 0.000
0.250 0.750 0.500
0.750 0.250 0.500

Record 6
K2AlRu (PBE, optimized geometry); formation enthalpy at 0 K = 0.858 eV per atom
1.0
3.306 0.000 0.000
0.000 5.888 0.000
-0.236 0.000 4.577
K Al Ru
2 1 1
Direct
0.245 0.000 0.253
0.755 0.000 0.747
0.500 0.500 0.000
0.000 0.500 0.500

Record 7
KAl2Ru (PBE, optimized geometry); formation enthalpy at 0 K = 0.086 eV per atom; polymorph energy (0 for the lowest one) = 190 meV/atom
1.0
3.359 0.000 0.000
0.000 3.359 0.000
0.000 0.000 7.987
K Al Ru
1 2 1
Direct
0.000 0.000 0.000
0.000 0.000 0.425
0.500 0.500 0.649
0.500 0.500 0.342

Record 8
K2AlRu (PBE, optimized geometry); formation enthalpy at 0 K = 0.840 eV per atom
1.0
4.022 0.000 0.000
0.000 4.022 0.000
0.000 0.000 5.692
K Al Ru
2 1 1
Direct
0.000 0.500 0.000
0.500 0.000 0.000
0.000 0.000 0.500
0.500 0.500 0.500

Record 9
K2AlRu (PBE, optimized geometry); formation enthalpy at 0 K = 0.203 eV per atom
1.0
3.483 0.000 0.000
0.000 3.498 0.000
-1.629 0.000 10.122
K Al Ru
2 1 1
Direct
0.000 0.000 0.000
0.311 0.500 0.586
0.661 0.000 0.302
0.151 0.500 0.281

Record 10
KAl2Ru (PBE, optimized geometry); formation enthalpy at 0 K = 0.662 eV per atom; polymorph energy (0 for the lowest one) = 766 meV/atom
1.0
3.184 -3.771 0.000
3.184 3.771 0.000
-0.006 0.000 3.024
K Al Ru
1 2 1
Direct
0.000 0.000 0.000
0.000 0.500 0.500
0.500 0.000 0.500
0.500 0.500 0.000

Record 11
KAl2Ru (PBE, optimized geometry); formation enthalpy at 0 K = 0.799 eV per atom; polymorph energy (0 for the lowest one) = 904 meV/atom
1.0
2.856 0.000 0.000
0.000 5.025 0.000
0.000 0.000 5.411
K Al Ru
1 2 1
Direct
0.000 0.000 0.000
0.000 0.500 0.500
0.500 0.500 0.000
0.500 0.000 0.500

Record 12
KAlRu2Se (PBE, optimized geometry); formation energy from raw total energies = 0.91 eV/atom
1.0
4.619 0.000 0.000
0.000 4.619 0.000
0.000 0.000 5.536
K Al Ru Se
1 1 2 1
Direct
0.000 0.000 0.000
0.500 0.500 0.000
0.000 0.500 0.500
0.500 0.000 0.500
0.000 0.000 0.500

Record 13
KAlV2Ru (PBE, optimized geometry); formation enthalpy at 0 K = 2.385 eV per atom
1.0
4.264 0.000 0.000
0.000 4.264 0.000
0.000 0.000 4.638
K Al V Ru
1 1 2 1
Direct
0.000 0.000 0.000
0.500 0.500 0.500
0.000 0.500 0.000
0.500 0.000 0.000
0.000 0.000 0.500

Record 14
KAlZn2Ru (PBE, optimized geometry); formation enthalpy at 0 K = 1.845 eV per atom
1.0
5.392 0.000 0.000
0.000 5.392 0.000
0.000 0.000 4.815
K Al Zn Ru
1 1 2 1
Direct
0.000 0.000 0.000
0.500 0.500 0.500
0.000 0.500 0.000
0.500 0.000 0.000
0.000 0.000 0.500

Record 15
K2AlS (PBE, optimized geometry); formation energy from raw total energies = -0.03 eV/atom; polymorph energy (0 for the lowest one) = 180 meV/atom
1.0
0.000 3.956 3.956
3.956 0.000 3.956
3.956 3.956 0.000
K Al S
2 1 1
Direct
0.250 0.250 0.250
0.750 0.750 0.750
0.000 0.000 0.000
0.500 0.500 0.500

Record 16
K3AlS3 (PBE, optimized geometry); formation energy from raw total energies = -1.29 eV/atom; polymorph energy (0 for the lowest one) = 0 meV/atom
1.0
4.235 -6.541 0.000
4.235 6.541 0.000
-1.624 0.000 7.404
K Al S
6 2 6
Direct
0.182 0.818 0.000
0.251 0.749 0.500
0.389 0.389 0.145
0.611 0.611 0.855
0.749 0.251 0.500
0.818 0.182 0.000
0.166 0.166 0.647
0.834 0.834 0.353
0.104 0.104 0.332
0.151 0.434 0.770
0.434 0.151 0.770
0.566 0.849 0.230
0.849 0.566 0.230
0.896 0.896 0.668

Record 17
K2AlS (PBE, optimized geometry); formation energy from raw total energies = -0.21 eV/atom; polymorph energy (0 for the lowest one) = 0 meV/atom
1.0
-5.966 5.966 2.479
5.966 -5.966 2.479
5.966 5.966 -2.479
K Al S
4 2 2
Direct
0.375 0.054 0.179
0.804 0.625 0.679
0.875 0.196 0.821
0.946 0.125 0.321
0.250 0.750 0.500
0.500 0.500 0.000
0.000 0.000 0.000
0.750 0.250 0.500

Record 18
K2AlS8 (PBE, optimized geometry); formation energy from raw total energies = -0.50 eV/atom
1.0
5.687 -3.290 0.000
5.687 3.290 0.000
-3.822 0.000 7.265
K Al S
2 1 8
Direct
0.216 0.216 0.151
0.784 0.784 0.849
0.000 0.000 0.500
0.234 0.758 0.725
0.235 0.235 0.726
0.242 0.766 0.275
0.374 0.374 0.622
0.626 0.626 0.378
0.758 0.234 0.725
0.765 0.765 0.274
0.766 0.242 0.275

Record 19
KAl4S7 (PBE, optimized geometry); formation energy from raw total energies = -1.03 eV/atom
1.0
15.123 0.000 0.000
0.000 6.422 0.000
0.000 0.000 6.007
K Al S
2 8 14
Direct
0.000 0.194 0.000
0.500 0.806 0.500
0.123 0.667 0.574
0.249 0.181 0.554
0.251 0.819 0.054
0.377 0.333 0.074
0.623 0.333 0.074
0.749 0.819 0.054
0.751 0.181 0.554
0.877 0.667 0.574
0.000 0.837 0.452
0.120 0.696 0.947
0.122 0.335 0.460
0.247 0.838 0.440
0.253 0.162 0.940
0.378 0.665 0.960
0.380 0.304 0.447
0.500 0.163 0.952
0.620 0.304 0.447
0.622 0.665 0.960
0.747 0.162 0.940
0.753 0.838 0.440
0.878 0.335 0.460
0.880 0.696 0.947

Record 20
KAl3S (PBE, optimized geometry); formation energy from raw total energies = 0.42 eV/atom; polymorph energy (0 for the lowest one) = 0 meV/atom
1.0
5.149 0.000 0.000
0.000 5.149 0.000
0.000 0.000 5.149
K Al S
1 3 1
Direct
0.000 0.000 0.000
0.000 0.500 0.500
0.500 0.000 0.500
0.500 0.500 0.000
0.500 0.500 0.500

Record 21
K3AlS3 (PBE, optimized geometry); formation energy from raw total energies = -1.28 eV/atom; polymorph energy (0 for the lowest one) = 2 meV/atom
1.0
8.711 0.000 0.000
0.000 7.765 0.000
-1.537 0.000 12.225
K Al S
12 4 12
Direct
0.075 0.149 0.133
0.075 0.351 0.633
0.326 0.720 0.793
0.326 0.780 0.293
0.390 0.220 0.924
0.390 0.280 0.424
0.610 0.720 0.576
0.610 0.780 0.076
0.674 0.220 0.707
0.674 0.280 0.207
0.925 0.649 0.367
0.925 0.851 0.867
0.165 0.577 0.051
0.165 0.923 0.551
0.835 0.077 0.449
0.835 0.423 0.949
0.077 0.058 0.386
0.077 0.442 0.886
0.244 0.652 0.526
0.244 0.848 0.026
0.345 0.072 0.657
0.345 0.428 0.157
0.655 0.572 0.843
0.655 0.928 0.343
0.756 0.152 0.974
0.756 0.348 0.474
0.923 0.558 0.114
0.923 0.942 0.614

Record 22
KAl3S (PBE, optimized geometry); formation energy from raw total energies = 1.59 eV/atom; polymorph energy (0 for the lowest one) = 1177 meV/atom
1.0
5.832 0.000 0.000
0.000 5.832 0.000
0.000 0.000 5.832
K Al S
1 3 1
Direct
0.000 0.000 0.000
0.000 0.000 0.500
0.000 0.500 0.000
0.500 0.000 0.000
0.500 0.500 0.500

Record 23
KAl2SbS6 (PBE, optimized geometry); formation energy from raw total energies = -0.75 eV/atom
1.0
6.465 -7.015 0.000
6.465 7.015 0.000
-3.137 0.000 6.278
K Al Sb S
2 4 2 12
Direct
0.125 0.875 0.750
0.875 0.125 0.250
0.165 0.313 0.867
0.313 0.165 0.367
0.687 0.835 0.633
0.835 0.687 0.133
0.290 0.710 0.250
0.710 0.290 0.750
0.064 0.632 0.300
0.140 0.221 0.114
0.221 0.140 0.614
0.311 0.537 0.938
0.368 0.936 0.200
0.463 0.689 0.562
0.537 0.311 0.438
0.632 0.064 0.800
0.689 0.463 0.062
0.779 0.860 0.386
0.860 0.779 0.886
0.936 0.368 0.700

Record 24
K2ScAlS4 (PBE, optimized geometry); formation energy from raw total energies = -1.33 eV/atom
1.0
-3.899 4.010 5.621
3.899 -4.010 5.621
3.899 4.010 -5.621
K Sc Al S
4 2 2 8
Direct
0.000 0.000 0.000
0.500 0.000 0.000
0.500 0.000 0.500
0.500 0.500 0.500
0.000 0.500 0.500
0.500 0.500 0.000
0.000 0.000 0.500
0.000 0.500 0.000
0.189 0.735 0.453
0.218 0.265 0.953
0.226 0.258 0.531
0.226 0.695 0.969
0.774 0.305 0.031
0.774 0.742 0.469
0.782 0.735 0.047
0.811 0.265 0.547